1.
The following is a DFT calculation (PBE) of an optimized crystal structure of HfAl2Ni.

Space group ... P4/mmm
E_form ... -523.9 meV/atom

abc: 2.9526 2.9526 7.0468
angles: 90.00 90.00 90.00
Closest atoms and distances in Å follow each position.
Fractional coordinates of all 4 atoms:
Al1 0.0000 0.0000 0.2016  4 Ni 2.53
Al2 0.0000 0.0000 0.7984  4 Ni 2.53
Hf1 0.5000 0.5000 0.5000  4 Hf 2.95, 8 Al 2.96
Ni1 0.5000 0.5000 0.0000  8 Al 2.53


2.
The following is a DFT calculation (PBE) of an optimized crystal structure of HfAl2Ni.

Space group ... Fm-3m
E_form ... -187.1 meV/atom

abc: 4.4635 4.4635 4.4635
angles: 60.00 60.00 60.00
Closest atoms and distances in Å follow each position.
Fractional coordinates of all 4 atoms:
Ni1 0.0000 0.0000 0.0000  8 Al 2.73
Al1 0.7500 0.7500 0.7500  4 Hf 2.73, 4 Ni 2.73
Al2 0.2500 0.2500 0.2500  4 Ni 2.73, 4 Hf 2.73
Hf1 0.5000 0.5000 0.5000  8 Al 2.73


3.
The following is a DFT calculation (PBE) of an optimized crystal structure of HfAl2Ni9.

Space group ... P4/mmm
E_form ... -464.3 meV/atom

abc: 3.6388 3.6388 10.7454
angles: 90.00 90.00 90.00
Closest atoms and distances in Å follow each position.
Fractional coordinates of all 12 atoms:
Ni1 0.0000 0.5000 0.5000  4 Al 2.51, 8 Ni 2.51-2.57
Ni2 0.0000 0.5000 0.1775  8 Ni 2.51-2.64, 2 Al 2.52, 2 Hf 2.64
Ni3 0.5000 0.0000 0.1775  8 Ni 2.51-2.64, 2 Al 2.52, 2 Hf 2.64
Ni4 0.5000 0.0000 0.5000  4 Al 2.51, 8 Ni 2.51-2.57
Ni5 0.5000 0.5000 0.0000  4 Hf 2.57, 8 Ni 2.64
Ni6 0.5000 0.0000 0.8225  8 Ni 2.51-2.64, 2 Al 2.52, 2 Hf 2.64
Ni7 0.5000 0.5000 0.6614  8 Ni 2.51, 4 Al 2.57
Ni8 0.5000 0.5000 0.3386  8 Ni 2.51, 4 Al 2.57
Ni9 0.0000 0.5000 0.8225  8 Ni 2.51-2.64, 2 Al 2.52, 2 Hf 2.64
Al1 0.0000 0.0000 0.3393  12 Ni 2.51-2.57
Al2 0.0000 0.0000 0.6607  12 Ni 2.51-2.57
Hf1 0.0000 0.0000 0.0000  12 Ni 2.57-2.64


4.
The following is a DFT calculation (PBE) of an optimized crystal structure of HfAl2Ni.

Space group ... P4/mmm
E_form ... -451.2 meV/atom

abc: 4.0374 3.9410 3.9410
angles: 90.00 90.00 90.00
Closest atoms and distances in Å follow each position.
Fractional coordinates of all 4 atoms:
Ni1 0.5000 0.0000 0.0000  4 Hf 2.79, 8 Al 2.82
Hf1 0.5000 0.5000 0.5000  4 Ni 2.79, 8 Al 2.82
Al1 0.0000 0.0000 0.5000  4 Al 2.79, 4 Hf 2.82, 4 Ni 2.82
Al2 0.0000 0.5000 0.0000  4 Al 2.79, 4 Hf 2.82, 4 Ni 2.82


5.
The following is a DFT calculation (PBE) of an optimized crystal structure of Hf4AlNi2.

Space group ... R-3m
E_form ... -80.2 meV/atom

abc: 4.3947 4.3947 8.5354
angles: 75.08 75.08 60.00
Closest atoms and distances in Å follow each position.
Fractional coordinates of all 7 atoms:
Hf1 0.8815 0.8815 0.3556  3 Al 2.80, 3 Ni 2.85
Hf2 0.1185 0.1185 0.6444  3 Al 2.80, 3 Ni 2.85
Hf3 0.7052 0.7052 0.8843  4 Ni 2.55-2.62
Hf4 0.2948 0.2948 0.1157  4 Ni 2.55-2.62
Ni1 0.6009 0.6009 0.1972  1 Al 2.47, 4 Hf 2.55-2.62
Ni2 0.3991 0.3991 0.8028  1 Al 2.47, 4 Hf 2.55-2.62
Al1 0.5000 0.5000 0.5000  2 Ni 2.47


6.
The following is a DFT calculation (PBE) of an optimized crystal structure of HfScAlNi.

Space group ... F-43m
E_form ... -320.1 meV/atom

abc: 4.6504 4.6504 4.6504
angles: 60.00 60.00 60.00
Closest atoms and distances in Å follow each position.
Fractional coordinates of all 4 atoms:
Al1 0.7500 0.7500 0.7500  4 Sc 2.85, 4 Hf 2.85
Hf1 0.0000 0.0000 0.0000  4 Ni 2.85, 4 Al 2.85
Ni1 0.2500 0.2500 0.2500  4 Hf 2.85, 4 Sc 2.85
Sc1 0.5000 0.5000 0.5000  4 Ni 2.85, 4 Al 2.85


7.
The following is a DFT calculation (PBE) of an optimized crystal structure of HfSc2AlNi.

Space group ... P4/mmm
E_form ... 531.4 meV/atom

abc: 5.0831 4.2585 5.0831
angles: 90.00 90.00 90.00
Closest atoms and distances in Å follow each position.
Fractional coordinates of all 5 atoms:
Al1 0.0000 0.0000 0.0000  2 Ni 2.13
Ni1 0.0000 0.5000 0.0000  2 Al 2.13
Sc1 0.0000 0.0000 0.5000  2 Al 2.54
Sc2 0.5000 0.0000 0.0000  2 Al 2.54
Hf1 0.5000 0.5000 0.5000  8 Sc 3.32, 4 Ni 3.59


8.
The following is a DFT calculation (PBE) of an optimized crystal structure of Hf2AlSi3Ni4.

Space group ... P-4m2
Formation energy without anion corrections ... -16.96 kcal/mol of atoms

abc: 3.7617 3.7617 9.8106
angles: 90.00 90.00 90.00
Closest atoms and distances in Å follow each position.
Fractional coordinates of all 10 atoms:
Ni1 0.0000 0.0000 0.0000  4 Si 2.29
Ni2 0.0000 0.5000 0.3577  3 Si 2.20-2.34, 2 Al 2.34
Ni3 0.5000 0.5000 0.0000  4 Si 2.29
Ni4 0.5000 0.0000 0.6423  3 Si 2.20-2.34, 2 Al 2.34
Hf1 0.5000 0.0000 0.2391  6 Si 2.85-3.18, 8 Ni 2.90-3.01, 2 Al 3.18
Hf2 0.0000 0.5000 0.7609  6 Si 2.85-3.18, 8 Ni 2.90-3.01, 2 Al 3.18
Al1 0.5000 0.5000 0.5000  4 Ni 2.34
Si1 0.0000 0.5000 0.1338  5 Ni 2.20-2.29
Si2 0.0000 0.0000 0.5000  4 Ni 2.34
Si3 0.5000 0.0000 0.8662  5 Ni 2.20-2.29


9.
The following is a DFT calculation (PBE) of an optimized crystal structure of SrHfAlNi2.

Space group ... P4/mmm
E_form ... 1778.3 meV/atom

abc: 4.6253 5.4077 4.6253
angles: 90.00 90.00 90.00
Closest atoms and distances in Å follow each position.
Fractional coordinates of all 5 atoms:
Al1 0.5000 0.5000 0.5000  4 Hf 3.27, 8 Ni 3.56
Ni1 0.5000 0.0000 0.0000  2 Sr 2.31
Ni2 0.0000 0.0000 0.5000  2 Sr 2.31
Hf1 0.0000 0.5000 0.0000  2 Sr 2.70
Sr1 0.0000 0.0000 0.0000  4 Ni 2.31


10.
The following is a DFT calculation (PBE) of an optimized crystal structure of HfAlNiTe2.

Space group ... P4/mmm
Formation energy without anion corrections ... 12.30 kcal/mol of atoms

abc: 5.2583 4.2815 5.2583
angles: 90.00 90.00 90.00
Closest atoms and distances in Å follow each position.
Fractional coordinates of all 5 atoms:
Al1 0.0000 0.0000 0.0000  2 Ni 2.14
Hf1 0.5000 0.5000 0.5000  8 Te 3.39, 4 Ni 3.72
Te1 0.0000 0.0000 0.5000  2 Al 2.63
Te2 0.5000 0.0000 0.0000  2 Al 2.63
Ni1 0.0000 0.5000 0.0000  2 Al 2.14


no.,total DFT energy (no corrections) (eV for the cell shown),spin magnetization (μB per cell)
1,-25.316,0.00
2,-23.968,0.00
3,-75.042,1.19
4,-25.025,0.00
5,-55.680,0.00
6,-27.089,0.47
7,-29.483,1.77
8,-70.396,0.00
9,-18.049,0.00
10,-23.094,0.00